HoMnAgF6 | PBE with a Hubbard U | relaxed

Summary:
* DFT total energy: -104.987 eV/cell

Cell: 5.2669 5.2669 10.4775 Å, 90.00 90.00 90.00°
Space group P4_2nm (No. 102)
Asymmetric unit:
Ho1 0.0000 0.0000 0.0000 x2
Mn1 0.0000 0.0000 0.3375 x2
Ag1 0.0000 0.0000 0.6691 x2
F1 0.1754 0.1754 0.1701 x4
F2 0.2086 0.2086 0.4799 x4
F3 0.2148 0.2148 0.8588 x4